{
  "formula": "AcCeSc2",
  "functional": "GGA-PBE",
  "state": "relaxed",
  "lattice_angstrom": [[-1.2865, 3.7379, 0.1838], [-3.6688, -1.2213, -0.8420], [-1.4598, -0.8779, 7.6342]],
  "species": ["Ac", "Ce", "Sc", "Sc"],
  "frac_coords": [[0.5000, 0.5000, 0.5000], [0.5000, 0.5000, 0.0000], [0.0000, 0.0000, 0.7768], [0.0000, 0.0000, 0.2232]],
  "relative_energy_mev_per_atom": 0.0,
  "density_g_cm3": 6.195,
  "delta_e_f_mev_per_atom": 121,
  "volume_a3_per_cell": 122.50
}